# TcRu3 PBE optimized geometry
# E	-9.458	eV/atom
# total magnetic moment	0.000	Bohr magnetons per cell
# formation enthalpy at 0 K	35	kJ/mol of formula units
data_TcRu3
_chemical_formula_sum 'Tc3 Ru9'
_symmetry_space_group_name_H-M 'R -3 m'
_symmetry_Int_Tables_number 166
_symmetry_space_group_name_Hall '-R 3 2"'
_cell_length_a 2.7150
_cell_length_b 2.7150
_cell_length_c 26.5221
_cell_angle_alpha 90.00
_cell_angle_beta 90.00
_cell_angle_gamma 120.00
loop_
_atom_site_label
_atom_site_type_symbol
_atom_site_fract_x
_atom_site_fract_y
_atom_site_fract_z
Tc1 Tc 0.0000 0.0000 0.0000
Ru1 Ru 0.0000 0.0000 0.2499
Ru2 Ru 0.0000 0.0000 0.5000